1.
Compound: PbSCl3
Source: Alexandria
Functional: PBE-GGA
Structure: optimized geometry

Output
* formation energy (no corrections): -3.1 eV/f.u.
* theoretical density: 3.53 g/cm3
* SG: P-1, No. 2

extended XYZ file:
```
10
Lattice="-0.9691 2.2232 3.6320 -0.1624 -8.7419 6.6867 6.8297 5.9741 -3.2582" Properties=species:S:1:pos:R:3 pbc="T T T"
Pb 4.4640 0.0067 5.0884
Pb 1.2341 -0.5513 1.9721
Cl 0.2012 -5.0043 5.8434
Cl 5.0170 -2.6844 4.2590
Cl 1.7990 -0.8620 4.9267
Cl 3.8991 0.3173 2.1337
Cl 0.6811 2.1397 2.8015
Cl 5.4970 4.4596 1.2171
S 2.3470 -4.3805 6.0397
S 3.3511 3.8358 1.0208
```

2.
Compound: Pb2SCl
Source: Alexandria
Functional: PBE-GGA
Structure: optimized geometry

Output
* DOS(E_F): 0.3877 states/eV per atom
* formation energy (no corrections): -2.3 eV/f.u.
* theoretical density: 7.20 g/cm3
* SG: R3m, No. 160

extended XYZ file:
```
4
Lattice="3.8990 0.0000 0.0000 1.9495 3.3766 0.0000 1.9495 1.1255 8.4395" Properties=species:S:1:pos:R:3 pbc="T T T"
Pb 1.9495 1.1255 1.9170
Pb 1.9495 1.1255 6.5336
Cl 3.8990 2.2511 4.2940
S 5.8485 3.3766 8.3543
```

3.
Compound: Pb2SCl
Source: Alexandria
Functional: PBE-GGA
Structure: optimized geometry

Output
* DOS(E_F): 0.2869 states/eV per atom
* formation energy (no corrections): -2.3 eV/f.u.
* theoretical density: 7.22 g/cm3
* SG: R-3m, No. 166

extended XYZ file:
```
4
Lattice="3.8986 0.0000 0.0000 1.9493 3.3763 0.0000 1.9493 1.1254 8.4164" Properties=species:S:1:pos:R:3 pbc="T T T"
Pb 1.9493 1.1254 1.9135
Pb 5.8479 3.3763 6.5029
S 0.0000 0.0000 0.0000
Cl 3.8986 2.2509 4.2082
```

Look up the theoretical density of the first one.
3.53 g/cm3

The highest theoretical density belongs to which entry?
number 3

Which of these has the highest theoretical density?
number 3

Repeat the second record exactly.
Compound: Pb2SCl
Source: Alexandria
Functional: PBE-GGA
Structure: optimized geometry

Output
* DOS(E_F): 0.3877 states/eV per atom
* formation energy (no corrections): -2.3 eV/f.u.
* theoretical density: 7.20 g/cm3
* SG: R3m, No. 160

extended XYZ file:
```
4
Lattice="3.8990 0.0000 0.0000 1.9495 3.3766 0.0000 1.9495 1.1255 8.4395" Properties=species:S:1:pos:R:3 pbc="T T T"
Pb 1.9495 1.1255 1.9170
Pb 1.9495 1.1255 6.5336
Cl 3.8990 2.2511 4.2940
S 5.8485 3.3766 8.3543
```